Tb4Pm7Pr2 | GGA-PBE | relaxed

Summary:
The density of states at the Fermi level comes out at 19.0 states/eV per cell. The space-group type is P-1. The electronic total energy is -4.70 eV/atom. Its formation energy is 0.014 eV per atom.

a = 6.2817 Å, b = 8.1293 Å, c = 9.6117 Å
α = 65.04°, β = 83.74°, γ = 82.61°
With the nearest neighbours (Å) after each atom.
Fractional coordinates of all 13 atoms:
1 Tb 0.0374 0.4232 0.3480  3 Tb 3.60-3.62, 8 Pm 3.62-3.64, 1 Pr 3.63
2 Tb 0.1930 0.1174 0.7283  2 Tb 3.60-3.62, 7 Pm 3.62-3.65, 3 Pr 3.62-3.66
3 Tb 0.8070 0.8826 0.2717  2 Tb 3.60-3.62, 7 Pm 3.62-3.65, 3 Pr 3.62-3.66
4 Tb 0.9626 0.5768 0.6520  3 Tb 3.60-3.62, 8 Pm 3.62-3.64, 1 Pr 3.63
5 Pm 0.1141 0.2704 0.0386  5 Pm 3.61-3.65, 3 Pr 3.62-3.65, 4 Tb 3.64-3.65
6 Pm 0.2683 0.9618 0.4233  6 Pm 3.62-3.64, 5 Tb 3.62-3.64, 1 Pr 3.63
7 Pm 0.4242 0.6550 0.8059  7 Pm 3.62-3.66, 3 Tb 3.63-3.64, 2 Pr 3.64-3.65
8 Pm 0.5000 0.5000 0.5000  6 Tb 3.62, 4 Pm 3.62-3.64, 2 Pr 3.63
9 Pm 0.5758 0.3450 0.1941  7 Pm 3.62-3.66, 3 Tb 3.63-3.64, 2 Pr 3.64-3.65
10 Pm 0.7317 0.0382 0.5767  6 Pm 3.62-3.64, 5 Tb 3.62-3.64, 1 Pr 3.63
11 Pm 0.8859 0.7296 0.9614  5 Pm 3.61-3.65, 3 Pr 3.62-3.65, 4 Tb 3.64-3.65
12 Pr 0.3442 0.8073 0.1161  7 Pm 3.62-3.65, 4 Tb 3.62-3.66, 1 Pr 3.65
13 Pr 0.6558 0.1927 0.8839  7 Pm 3.62-3.65, 4 Tb 3.62-3.66, 1 Pr 3.65